# 1
Density functional theory data (PBE-GGA) for crystalline NdSiGe at its relaxed geometry.

## Properties
magnetization: 0.01 μB per cell
relative energy among the computed polymorphs: 490.4 meV per atom

Cell and atoms, written as CIF:
```
data_NdSiGe
_chemical_formula_sum 'Nd4 Si4 Ge4'
_symmetry_space_group_name_H-M 'F -4 3 m'
_symmetry_Int_Tables_number 216
_symmetry_space_group_name_Hall 'F -4 2 3'
_cell_length_a 6.681
_cell_length_b 6.681
_cell_length_c 6.681
_cell_angle_alpha 90.00
_cell_angle_beta 90.00
_cell_angle_gamma 90.00
loop_
_atom_site_label
_atom_site_type_symbol
_atom_site_fract_x
_atom_site_fract_y
_atom_site_fract_z
_atom_site_occupancy
Nd1 Nd 0.000 0.000 0.000 1
Si1 Si 0.250 0.250 0.750 1
Ge1 Ge 0.000 0.000 0.500 1
```

---

# 2
Density functional theory data (PBE-GGA) for crystalline Nd2SiGe at its relaxed geometry.

## Properties
magnetization: 0.04 μB per cell
energy: -5.692 eV/atom

Cell and atoms, written as CIF:
```
data_Nd2SiGe
_chemical_formula_sum 'Nd8 Si4 Ge4'
_symmetry_space_group_name_H-M 'A m m 2'
_symmetry_Int_Tables_number 38
_cell_length_a 6.585
_cell_length_b 4.467
_cell_length_c 13.416
_cell_angle_alpha 90.00
_cell_angle_beta 90.00
_cell_angle_gamma 90.00
loop_
_symmetry_equiv_pos_as_xyz
'x,y,z'
'-x,-y,z'
'-x,y,z'
'x,-y,z'
'x,y+1/2,z+1/2'
'-x,-y+1/2,z+1/2'
'-x,y+1/2,z+1/2'
'x,-y+1/2,z+1/2'
loop_
_atom_site_label
_atom_site_type_symbol
_atom_site_fract_x
_atom_site_fract_y
_atom_site_fract_z
_atom_site_occupancy
Nd1 Nd 0.000 0.000 0.000 1
Nd2 Nd 0.000 0.000 0.271 1
Nd3 Nd 0.500 0.000 0.098 1
Nd4 Nd 0.500 0.000 0.821 1
Si1 Si 0.189 0.000 0.645 1
Ge1 Ge 0.301 0.000 0.451 1
```

---

# 3
Density functional theory data (PBE-GGA) for crystalline NdSiGe at its relaxed geometry.

## Properties
magnetization: 0.02 μB per cell
relative energy among the computed polymorphs: 0.0 meV per atom

Cell and atoms, written as CIF:
```
data_NdSiGe
_chemical_formula_sum 'Nd4 Si4 Ge4'
_symmetry_space_group_name_H-M 'I m m a'
_symmetry_Int_Tables_number 74
_symmetry_space_group_name_Hall '-I 2b 2'
_cell_length_a 4.144
_cell_length_b 4.159
_cell_length_c 15.273
_cell_angle_alpha 90.00
_cell_angle_beta 90.00
_cell_angle_gamma 90.00
loop_
_atom_site_label
_atom_site_type_symbol
_atom_site_fract_x
_atom_site_fract_y
_atom_site_fract_z
_atom_site_occupancy
Nd1 Nd 0.000 0.250 0.121 1
Si1 Si 0.000 0.250 0.537 1
Ge1 Ge 0.000 0.250 0.700 1
```

---

# 4
Density functional theory data (PBE-GGA) for crystalline NdSiGe at its relaxed geometry.

## Properties
magnetization: 0.00 μB per cell
relative energy among the computed polymorphs: 559.1 meV per atom

Cell and atoms, written as CIF:
```
data_NdSiGe
_chemical_formula_sum 'Nd4 Si4 Ge4'
_symmetry_space_group_name_H-M 'F -4 3 m'
_symmetry_Int_Tables_number 216
_symmetry_space_group_name_Hall 'F -4 2 3'
_cell_length_a 6.686
_cell_length_b 6.686
_cell_length_c 6.686
_cell_angle_alpha 90.00
_cell_angle_beta 90.00
_cell_angle_gamma 90.00
loop_
_atom_site_label
_atom_site_type_symbol
_atom_site_fract_x
_atom_site_fract_y
_atom_site_fract_z
_atom_site_occupancy
Nd1 Nd 0.000 0.000 0.000 1
Si1 Si 0.000 0.000 0.500 1
Ge1 Ge 0.250 0.250 0.250 1
```

---

# 5
Density functional theory data (PBE-GGA) for crystalline NdSmGe2 at its relaxed geometry.

## Properties
magnetization: 0.05 μB per cell
relative energy among the computed polymorphs: 591.8 meV per atom

Cell and atoms, written as CIF:
```
data_NdSmGe2
_chemical_formula_sum 'Nd2 Sm2 Ge4'
_symmetry_space_group_name_H-M 'A m m 2'
_symmetry_Int_Tables_number 38
_cell_length_a 3.324
_cell_length_b 5.985
_cell_length_c 11.598
_cell_angle_alpha 90.00
_cell_angle_beta 90.00
_cell_angle_gamma 90.00
loop_
_symmetry_equiv_pos_as_xyz
'x,y,z'
'-x,-y,z'
'-x,y,z'
'x,-y,z'
'x,y+1/2,z+1/2'
'-x,-y+1/2,z+1/2'
'-x,y+1/2,z+1/2'
'x,-y+1/2,z+1/2'
loop_
_atom_site_label
_atom_site_type_symbol
_atom_site_fract_x
_atom_site_fract_y
_atom_site_fract_z
_atom_site_occupancy
Nd1 Nd 0.000 0.000 0.000 1
Sm1 Sm 0.000 0.000 0.298 1
Ge1 Ge 0.000 0.000 0.543 1
Ge2 Ge 0.000 0.000 0.753 1
```

---

# 6
Density functional theory data (PBE-GGA) for crystalline NdSmGe2 at its relaxed geometry.

## Properties
magnetization: 0.00 μB per cell
relative energy among the computed polymorphs: 0.0 meV per atom

Cell and atoms, written as CIF:
```
data_NdSmGe2
_chemical_formula_sum 'Nd4 Sm4 Ge8'
_symmetry_space_group_name_H-M 'C m c m'
_symmetry_Int_Tables_number 63
_symmetry_space_group_name_Hall '-C 2c 2'
_cell_length_a 4.199
_cell_length_b 19.127
_cell_length_c 5.575
_cell_angle_alpha 90.00
_cell_angle_beta 90.00
_cell_angle_gamma 90.00
loop_
_atom_site_label
_atom_site_type_symbol
_atom_site_fract_x
_atom_site_fract_y
_atom_site_fract_z
_atom_site_occupancy
Nd1 Nd 0.000 0.078 0.250 1
Sm1 Sm 0.000 0.298 0.250 1
Ge1 Ge 0.000 0.313 0.750 1
Ge2 Ge 0.000 0.457 0.250 1
```

---

- Which formula does entry 5 have?
  NdSmGe2

---

- magnetization of number 2 (Nd2SiGe)?
  0.04 μB per cell